## Ba6Li7 (meta-GGA SCAN)

Data for Ba6Li7 at its PBEsol-relaxed geometry.

Lattice parameters (Å, degrees): 6.7463 6.7463 37.5978 90.00 90.00 120.00
Space group R-3m (No. 166, hexagonal axes)
Unique sites:
Ba (0.0000, 0.0000, 0.0520) (multiplicity 6)
Ba (0.0000, 0.0000, 0.1542) (multiplicity 6)
Ba (0.0000, 0.0000, 0.3268) (multiplicity 6)
Li (0.0000, 0.0000, 0.5000) (multiplicity 3)
Li (0.0134, 0.5067, 0.0965) (multiplicity 18)

Values from the calculation:
As for the total magnetic moment: 1.1 μB/f.u. The calculation puts the density of states at the Fermi level at 0.811 states/eV per atom. The formation energy comes out at 0.046 eV per atom.